DFT (GGA-PBE) results for In8Ag6Hg after structural relaxation.

```
15
Lattice="-2.360 -1.016 3.751 -6.818 -3.828 -5.328 7.176 -5.352 3.065" Properties=species:S:1:pos:R:3 pbc="T T T"
In -3.674 -2.015 1.547
Ag 3.050 -6.462 1.800
In 0.644 -5.649 3.235
Ag 0.334 -5.561 0.336
In -6.671 -5.969 -1.410
In 4.668 -4.228 2.898
In -2.647 -4.549 -1.747
Hg -1.180 -0.508 1.875
Ag -4.055 -6.784 -0.511
Ag 2.052 -3.413 1.999
In -1.776 -7.462 1.266
In -0.227 -2.735 0.222
In 1.672 -8.182 -0.059
Ag -5.053 -3.735 -0.313
Ag -2.337 -4.636 1.152
```

Results
**V**: 352.5 Å³/cell
**Crystal system**: trigonal
**Symmetry**: P-3 (147)
**ΔH_f (0 K)**: 69 kJ/mol of formula units